## Li2Cd3Hg4 (PBE)

Data for a relaxed structure of Li2Cd3Hg4.

Lattice parameters (Å, degrees): 4.852 4.854 9.556 90.00 90.00 60.00
Sites, in units of the cell vectors:
Li1 0.667 0.666 0.217
Li2 0.333 0.334 0.783
Hg1 0.333 0.333 0.114
Hg2 0.000 0.001 0.680
Hg3 0.000 0.999 0.320
Hg4 0.667 0.667 0.886
Cd1 0.000 0.000 0.000
Cd2 0.333 0.333 0.438
Cd3 0.667 0.667 0.562

Computed properties:
Calculated volume: 194.9 Å³/cell
DOS(E_F): 1.54 states/eV/cell
Energy relative to the lowest polymorph listed for this composition: 0.000 eV/atom
E_form: -0.17 eV per atom
Total DFT energy (no corrections): -1.0343 eV per atom